No. 1
# Ca2AlC | the Alexandria database | SCAN | PBEsol geometry
data_Ca2AlC
_chemical_formula_sum 'Ca4 Al2 C2'
_cell_length_a 7.343
_cell_length_b 7.343
_cell_length_c 7.343
_cell_angle_alpha 93.95
_cell_angle_beta 93.95
_cell_angle_gamma 149.57
_space_group_name_H-M_alt 'P 1'
_space_group_IT_number 1
_space_group_name_Hall 'P 1'
loop_
_atom_site_label
_atom_site_type_symbol
_atom_site_fract_x
_atom_site_fract_y
_atom_site_fract_z
C1 C 0.750 0.250 0.500
Al1 Al 0.000 0.000 0.000
Ca1 Ca 0.692 0.875 0.317
Al2 Al 0.250 0.750 0.500
Ca2 Ca 0.625 0.308 0.183
C2 C 0.500 0.500 0.000
Ca3 Ca 0.125 0.442 0.817
Ca4 Ca 0.558 0.375 0.683
# **Size of the total moment**: 0.1 Bohr magnetons per cell
# **Total DFT energy (no corrections)**: -9.157 eV/atom
# **SG**: I-42d (122)

No. 2
# Ca4Al2H22CO20 | the Alexandria database | SCAN | PBEsol geometry
data_Ca4Al2H22CO20
_chemical_formula_sum 'Ca4 Al2 H22 C1 O20'
_cell_length_a 5.708
_cell_length_b 8.333
_cell_length_c 9.592
_cell_angle_alpha 66.55
_cell_angle_beta 81.74
_cell_angle_gamma 80.52
_space_group_name_H-M_alt 'P 1'
_space_group_IT_number 1
_space_group_name_Hall 'P 1'
loop_
_atom_site_label
_atom_site_type_symbol
_atom_site_fract_x
_atom_site_fract_y
_atom_site_fract_z
H1 H 0.458 0.864 0.673
O1 O 0.430 0.573 0.296
Ca1 Ca 0.016 0.624 0.311
O2 O 0.856 0.785 0.077
O3 O 0.330 0.563 0.949
H2 H 0.848 0.524 0.935
H3 H 0.681 0.220 0.042
H4 H 0.347 0.237 0.499
Al1 Al 0.005 0.998 0.000
H5 H 0.656 0.772 0.502
H6 H 0.324 0.772 0.965
O4 O 0.154 0.212 0.926
H7 H 0.553 0.145 0.320
H8 H 0.211 0.501 0.038
O5 O 0.903 0.603 0.825
O6 O 0.065 0.932 0.208
O7 O 0.643 0.718 0.430
H9 H 0.975 0.007 0.260
Ca2 Ca 0.980 0.378 0.698
O8 O 0.077 0.379 0.188
O9 O 0.142 0.925 0.572
O10 O 0.387 0.107 0.326
Al2 Al 0.497 0.503 0.505
O11 O 0.689 0.111 0.023
O12 O 0.185 0.611 0.531
O13 O 0.620 0.890 0.671
H10 H 0.237 0.000 0.476
H11 H 0.713 0.778 0.737
O14 O 0.812 0.188 0.313
H12 H 0.973 0.960 0.551
H13 H 0.483 0.507 0.994
O15 O 0.353 0.288 0.575
H14 H 0.172 0.723 0.546
O16 O 0.564 0.431 0.712
H15 H 0.186 0.258 0.999
H16 H 0.832 0.737 0.003
O17 O 0.939 0.066 0.794
Ca3 Ca 0.526 0.116 0.802
O18 O 0.810 0.393 0.480
H17 H 0.039 0.011 0.729
H18 H 0.523 0.515 0.231
H19 H 0.464 0.483 0.779
O19 O 0.318 0.887 0.974
H20 H 0.066 0.625 0.829
O20 O 0.731 0.409 0.090
H21 H 0.821 0.291 0.450
H22 H 0.275 0.216 0.273
Ca4 Ca 0.480 0.885 0.197
C1 C 0.873 0.324 0.198
# **Size of the total moment**: 0.0 Bohr magnetons per cell
# **Total DFT energy (no corrections)**: -7.152 eV/atom
# **SG**: P1 (1)

No. 3
# CaHfAlC2 | the Alexandria database | SCAN | PBEsol geometry
data_CaHfAlC2
_chemical_formula_sum 'Ca1 Hf1 Al1 C2'
_cell_length_a 4.022
_cell_length_b 4.022
_cell_length_c 4.757
_cell_angle_alpha 90.00
_cell_angle_beta 90.00
_cell_angle_gamma 90.00
_space_group_name_H-M_alt 'P 1'
_space_group_IT_number 1
_space_group_name_Hall 'P 1'
loop_
_atom_site_label
_atom_site_type_symbol
_atom_site_fract_x
_atom_site_fract_y
_atom_site_fract_z
C1 C 0.500 0.000 0.000
Ca1 Ca 0.000 0.000 0.500
Al1 Al 0.000 0.000 0.000
Hf1 Hf 0.500 0.500 0.500
C2 C 0.000 0.500 0.000
# **Size of the total moment**: 0.0 Bohr magnetons per cell
# **Total DFT energy (no corrections)**: -18.110 eV/atom
# **SG**: P4/mmm (123)

No. 4
# Ca2TiAlC | the Alexandria database | SCAN | PBEsol geometry
data_Ca2TiAlC
_chemical_formula_sum 'Ca2 Ti1 Al1 C1'
_cell_length_a 3.942
_cell_length_b 5.146
_cell_length_c 5.146
_cell_angle_alpha 90.00
_cell_angle_beta 90.00
_cell_angle_gamma 90.00
_space_group_name_H-M_alt 'P 1'
_space_group_IT_number 1
_space_group_name_Hall 'P 1'
loop_
_atom_site_label
_atom_site_type_symbol
_atom_site_fract_x
_atom_site_fract_y
_atom_site_fract_z
Ca1 Ca 0.000 0.000 0.500
Ca2 Ca 0.000 0.500 0.000
Ti1 Ti 0.500 0.500 0.500
C1 C 0.000 0.000 0.000
Al1 Al 0.500 0.000 0.000
# **Size of the total moment**: 3.5 Bohr magnetons per cell
# **Total DFT energy (no corrections)**: -10.263 eV/atom
# **SG**: P4/mmm (123)

No. 5
# Al3CdC | the Alexandria database | SCAN | PBEsol geometry
data_Al3CdC
_chemical_formula_sum 'Al3 Cd1 C1'
_cell_length_a 4.913
_cell_length_b 4.913
_cell_length_c 4.913
_cell_angle_alpha 90.00
_cell_angle_beta 90.00
_cell_angle_gamma 90.00
_space_group_name_H-M_alt 'P 1'
_space_group_IT_number 1
_space_group_name_Hall 'P 1'
loop_
_atom_site_label
_atom_site_type_symbol
_atom_site_fract_x
_atom_site_fract_y
_atom_site_fract_z
Al1 Al 0.000 0.000 0.500
Cd1 Cd 0.000 0.000 0.000
Al2 Al 0.000 0.500 0.000
C1 C 0.500 0.500 0.500
Al3 Al 0.500 0.000 0.000
# **Size of the total moment**: 1.7 Bohr magnetons per cell
# **Total DFT energy (no corrections)**: -10.804 eV/atom
# **SG**: Pm-3m (221)

No. 6
# AlCd3C | the Alexandria database | SCAN | PBEsol geometry
data_AlCd3C
_chemical_formula_sum 'Al1 Cd3 C1'
_cell_length_a 5.107
_cell_length_b 5.107
_cell_length_c 5.107
_cell_angle_alpha 90.00
_cell_angle_beta 90.00
_cell_angle_gamma 90.00
_space_group_name_H-M_alt 'P 1'
_space_group_IT_number 1
_space_group_name_Hall 'P 1'
loop_
_atom_site_label
_atom_site_type_symbol
_atom_site_fract_x
_atom_site_fract_y
_atom_site_fract_z
Cd1 Cd 0.000 0.500 0.000
Al1 Al 0.000 0.000 0.000
Cd2 Cd 0.500 0.000 0.000
Cd3 Cd 0.000 0.000 0.500
C1 C 0.500 0.500 0.500
# **Size of the total moment**: 2.8 Bohr magnetons per cell
# **Total DFT energy (no corrections)**: -20.259 eV/atom
# **SG**: Pm-3m (221)

No. 7
# AlCdC2Cl | the Alexandria database | SCAN | PBEsol geometry
data_AlCdC2Cl
_chemical_formula_sum 'Al1 Cd1 C2 Cl1'
_cell_length_a 4.076
_cell_length_b 4.076
_cell_length_c 5.045
_cell_angle_alpha 90.00
_cell_angle_beta 90.00
_cell_angle_gamma 90.00
_space_group_name_H-M_alt 'P 1'
_space_group_IT_number 1
_space_group_name_Hall 'P 1'
loop_
_atom_site_label
_atom_site_type_symbol
_atom_site_fract_x
_atom_site_fract_y
_atom_site_fract_z
Cl1 Cl 0.000 0.000 0.000
Cd1 Cd 0.000 0.000 0.500
Al1 Al 0.500 0.500 0.500
C1 C 0.500 0.000 0.000
C2 C 0.000 0.500 0.000
# **Size of the total moment**: 0.0 Bohr magnetons per cell
# **Formation energy (no corrections)**: 2.701 eV/atom
# **SG**: P4/mmm (123)

No. 8
# AlCd2FeC | the Alexandria database | SCAN | PBEsol geometry
data_AlCd2FeC
_chemical_formula_sum 'Al1 Cd2 Fe1 C1'
_cell_length_a 3.768
_cell_length_b 4.631
_cell_length_c 4.631
_cell_angle_alpha 90.00
_cell_angle_beta 90.00
_cell_angle_gamma 90.00
_space_group_name_H-M_alt 'P 1'
_space_group_IT_number 1
_space_group_name_Hall 'P 1'
loop_
_atom_site_label
_atom_site_type_symbol
_atom_site_fract_x
_atom_site_fract_y
_atom_site_fract_z
Fe1 Fe 0.500 0.500 0.500
Cd1 Cd 0.000 0.500 0.000
C1 C 0.000 0.000 0.000
Al1 Al 0.500 0.000 0.000
Cd2 Cd 0.000 0.000 0.500
# **Size of the total moment**: 2.9 Bohr magnetons per cell
# **Total DFT energy (no corrections)**: -18.502 eV/atom
# **SG**: P4/mmm (123)